No. 1
Pm3Nd2Dy4 | PBE-GGA | relaxed

Unit cell a=6.241 b=6.260 c=8.066 alpha=82.57 beta=75.08 gamma=80.40
Atoms (fractional coordinates):
Pm1 0.000 0.000 0.000
Pm2 0.443 0.889 0.222
Pm3 0.557 0.111 0.778
Nd1 0.332 0.668 0.667
Nd2 0.668 0.332 0.333
Dy1 0.110 0.224 0.555
Dy2 0.222 0.446 0.112
Dy3 0.778 0.554 0.888
Dy4 0.890 0.776 0.445

Calculated values
E_form: 0.14 eV per formula unit
SG: P-1, No. 2



No. 2
Ac4TlRhBr2 | PBE-GGA | relaxed

Unit cell a=8.285 b=4.431 c=8.553 alpha=90.00 beta=109.04 gamma=90.00
Atoms (fractional coordinates):
Ac1 0.215 0.000 0.290
Ac2 0.224 0.500 0.703
Ac3 0.776 0.500 0.297
Ac4 0.785 0.000 0.710
Tl1 0.500 0.500 0.500
Rh1 0.000 0.000 0.500
Br1 0.000 0.500 0.000
Br2 0.500 0.000 0.000

Calculated values
SG: P2/m, No. 10
formation energy (no corrections): -7.388 eV per formula unit



no.,M_tot (μB per cell),density of states at the Fermi level (states/eV/atom)
1,0.00,1.388
2,0.00,0.719